{"formula": "SmEuGe2", "functional": "GGA-PBE", "state": "relaxed", "lattice_angstrom": [[-3.6299, -3.4450, -1.4055], [0.0124, -1.9727, -4.8092], [1.2981, -4.9777, -0.7641]], "species": ["Eu", "Ge", "Ge", "Sm"], "frac_coords": [[0.5000, 0.5000, 0.5000], [0.2503, 0.2503, 0.2492], [0.7497, 0.7497, 0.7508], [0.0000, 0.0000, 0.0000]], "e_form_mev_per_atom": -556, "e_tot_ev_per_cell": -26.45}